--- a ---
VASP calculation (PBE) on a relaxed structure of MnReMo2.

```
MnReMo2
1.0
3.153 0.000 0.000
0.000 4.346 0.000
0.000 0.000 4.332
Mn Mo Re
1 2 1
Direct
0.000 0.500 0.500
0.000 0.000 0.000
0.500 0.500 0.000
0.500 0.000 0.500
```

Output
The density of states at the Fermi level comes out at 0.98 states/eV/atom.


--- b ---
VASP calculation (PBE) on a relaxed structure of MnReMo2.

```
MnReMo2
1.0
-2.079 3.847 -2.200
-4.360 1.176 1.889
4.425 -0.858 1.908
Mn Mo Re
1 2 1
Direct
0.750 0.250 0.500
0.000 0.000 0.000
0.250 0.750 0.500
0.500 0.500 0.000
```

Output
The density of states at the Fermi level comes out at 1.00 states/eV/atom.


Winner for stability: a


--- a ---
VASP calculation (PBE) on a relaxed structure of MnRe2Mo2.

```
MnRe2Mo2
1.0
1.609 1.910 5.676
-3.900 2.897 3.854
0.314 -4.999 -3.656
Mn Re Mo
1 2 2
Direct
0.000 0.000 0.000
0.250 0.750 0.500
0.750 0.250 0.500
0.620 0.620 0.000
0.380 0.380 0.000
```

Output
The density of states at the Fermi level comes out at 1.23 states/eV/atom.


--- b ---
VASP calculation (PBE) on a relaxed structure of MnRe2Mo2.

```
MnRe2Mo2
1.0
-4.892 4.399 3.160
-4.428 -5.701 1.081
1.272 -0.486 2.647
Re Mo Mn
4 4 2
Direct
0.359 0.859 0.000
0.859 0.641 0.000
0.641 0.141 0.000
0.141 0.359 0.000
0.162 0.662 0.500
0.662 0.838 0.500
0.838 0.338 0.500
0.338 0.162 0.500
0.000 0.000 0.000
0.500 0.500 0.000
```

Output
The density of states at the Fermi level comes out at 1.94 states/eV/atom.


Winner for stability: b


--- a ---
VASP calculation (PBE) on a relaxed structure of MnMoRh4.

```
MnMoRh4
1.0
6.884 0.513 0.000
0.172 5.242 0.000
0.000 0.000 4.767
Mn Mo Rh
2 2 8
Direct
0.500 0.250 0.593
0.500 0.750 0.407
0.000 0.250 0.916
0.000 0.750 0.084
0.332 0.412 0.088
0.830 0.419 0.416
0.668 0.088 0.088
0.170 0.581 0.584
0.170 0.081 0.416
0.332 0.912 0.912
0.830 0.919 0.584
0.668 0.588 0.912
```

Output
The density of states at the Fermi level comes out at 1.20 states/eV/atom.


--- b ---
VASP calculation (PBE) on a relaxed structure of MnMoRh4.

```
MnMoRh4
1.0
-1.003 -0.430 4.951
-4.425 -1.944 1.531
-0.142 -4.580 2.169
Mn Mo Rh
1 1 4
Direct
0.250 0.250 0.250
0.000 0.000 0.000
0.625 0.625 0.126
0.625 0.126 0.625
0.625 0.625 0.625
0.126 0.625 0.625
```

Output
The density of states at the Fermi level comes out at 0.95 states/eV/atom.


Winner for stability: a


--- a ---
VASP calculation (PBE) on a relaxed structure of MnMoRh.

```
MnMoRh
1.0
-1.685 -5.622 -1.516
-0.548 -5.628 2.183
-0.695 6.017 0.224
Mn Mo Rh
1 1 1
Direct
0.003 0.003 0.000
0.333 0.333 0.000
0.664 0.664 0.000
```

Output
The density of states at the Fermi level comes out at 1.14 states/eV/atom.


--- b ---
VASP calculation (PBE) on a relaxed structure of MnMoRh.

```
MnMoRh
1.0
2.733 0.000 0.000
-1.366 2.367 0.000
0.000 0.000 6.649
Mn Mo Rh
1 1 1
Direct
0.000 0.000 0.995
0.667 0.333 0.332
0.333 0.667 0.673
```

Output
The density of states at the Fermi level comes out at 1.03 states/eV/atom.


--- c ---
VASP calculation (PBE) on a relaxed structure of MnMoRh.

```
MnMoRh
1.0
4.076 0.000 0.000
2.038 3.530 0.000
2.038 1.177 3.328
Mn Mo Rh
1 1 1
Direct
0.750 0.750 0.750
0.000 0.000 0.000
0.500 0.500 0.500
```

Output
The density of states at the Fermi level comes out at 1.43 states/eV/atom.


Winner for stability: a


--- a ---
VASP calculation (PBE) on a relaxed structure of MnMoRh.

```
MnMoRh
1.0
4.780 0.009 -0.003
2.527 4.058 0.003
-3.320 -2.632 2.213
Mn Mo Rh
1 1 1
Direct
0.001 0.001 0.000
0.335 0.335 0.000
0.664 0.664 0.000
```

Output
The density of states at the Fermi level comes out at 0.93 states/eV/atom.


--- b ---
VASP calculation (PBE) on a relaxed structure of MnMoRh.

```
MnMoRh
1.0
-0.464 1.528 -3.911
-0.845 -4.062 0.795
-2.535 0.635 0.549
Mn Mo Rh
1 1 1
Direct
0.000 0.000 0.167
0.667 0.333 0.167
0.333 0.667 0.667
```

Output
The density of states at the Fermi level comes out at 0.88 states/eV/atom.


Winner for stability: a


--- a ---
VASP calculation (PBE) on a relaxed structure of MnMoRh3.

```
MnMoRh3
1.0
4.413 0.000 0.000
0.000 4.413 0.000
0.000 0.000 4.413
Mo Mn Rh
1 1 3
Direct
0.500 0.500 0.500
0.000 0.000 0.000
0.000 0.500 0.000
0.000 0.000 0.500
0.500 0.000 0.000
```

Output
The density of states at the Fermi level comes out at 1.28 states/eV/atom.


--- b ---
VASP calculation (PBE) on a relaxed structure of MnMoRh3.

```
MnMoRh3
1.0
-3.175 -2.739 -2.754
-0.813 -3.871 3.127
-3.159 5.439 2.419
Mn Mo Rh
2 2 6
Direct
0.702 0.447 0.895
0.298 0.553 0.105
0.607 0.817 0.595
0.393 0.183 0.405
0.931 0.821 0.306
0.806 0.359 0.328
0.194 0.641 0.672
0.069 0.179 0.694
0.000 0.000 0.000
0.500 0.000 0.000
```

Output
The density of states at the Fermi level comes out at 1.03 states/eV/atom.


Winner for stability: b


--- a ---
VASP calculation (PBE) on a relaxed structure of MnMoRu2.

```
MnMoRu2
1.0
-0.634 -1.389 -2.249
2.306 -1.422 0.229
-3.534 -5.067 4.124
Mn Mo Ru
1 1 2
Direct
0.500 0.500 0.250
0.500 0.500 0.750
0.000 0.000 0.022
0.000 0.000 0.478
```

Output
The density of states at the Fermi level comes out at 1.27 states/eV/atom.


--- b ---
VASP calculation (PBE) on a relaxed structure of MnMoRu2.

```
MnMoRu2
1.0
0.090 0.635 5.165
2.575 -3.419 2.962
0.140 3.544 -3.809
Mn Mo Ru
1 1 2
Direct
0.750 0.250 0.500
0.250 0.750 0.500
0.976 0.976 0.000
0.524 0.524 0.000
```

Output
The density of states at the Fermi level comes out at 1.33 states/eV/atom.


--- c ---
VASP calculation (PBE) on a relaxed structure of MnMoRu2.

```
MnMoRu2
1.0
-3.976 2.999 1.058
-3.395 0.852 -3.698
2.290 -3.576 2.809
Mn Mo Ru
1 1 2
Direct
0.499 0.499 0.000
0.260 0.760 0.500
0.005 0.005 0.000
0.735 0.235 0.500
```

Output
The density of states at the Fermi level comes out at 1.19 states/eV/atom.


Winner for stability: a


--- a ---
VASP calculation (PBE) on a relaxed structure of MnMoRu2.

```
MnMoRu2
1.0
-1.240 -2.342 -0.626
1.141 0.599 -4.502
4.517 -1.760 -2.362
Mn Mo Ru
1 1 2
Direct
0.500 0.500 0.500
0.000 0.000 0.500
0.000 0.000 0.000
0.500 0.500 0.000
```

Output
The density of states at the Fermi level comes out at 1.04 states/eV/atom.


--- b ---
VASP calculation (PBE) on a relaxed structure of MnMoRu2.

```
MnMoRu2
1.0
4.693 0.013 -0.022
3.898 2.615 -0.022
0.793 0.242 4.578
Mn Mo Ru
1 1 2
Direct
0.503 0.503 0.492
0.750 0.750 0.749
0.996 0.996 0.009
0.251 0.251 0.251
```

Output
The density of states at the Fermi level comes out at 0.98 states/eV/atom.


--- c ---
VASP calculation (PBE) on a relaxed structure of MnMoRu2.

```
MnMoRu2
1.0
8.954 0.007 0.004
8.544 2.679 0.004
8.544 1.312 2.336
Mn Mo Ru
1 1 2
Direct
0.504 0.504 0.504
0.751 0.751 0.751
0.000 0.000 0.000
0.245 0.245 0.245
```

Output
The density of states at the Fermi level comes out at 0.95 states/eV/atom.


--- d ---
VASP calculation (PBE) on a relaxed structure of MnMoRu2.

```
MnMoRu2
1.0
8.921 0.007 0.004
8.507 2.687 0.004
8.507 1.315 2.343
Mn Mo Ru
1 1 2
Direct
0.250 0.250 0.250
0.750 0.750 0.750
0.996 0.996 0.996
0.504 0.504 0.504
```

Output
The density of states at the Fermi level comes out at 0.83 states/eV/atom.


Winner for stability: a